[1]
A geometry-optimized Ho5GeBi2 structure, computed with GGA-PBE.

Computed properties:
Density: 9.26 g/cm³
DFT total energy: -4.7737 eV/atom
Formation energy from the elements: -0.3652 eV/atom
M_tot: 0.000 μB/f.u.

a b c (Å): 5.921 5.739 16.197
angles (deg): 90.00 90.00 121.05
Sites, in units of the cell vectors:
Ho  0.081  0.161  0.108
Ho  0.081  0.161  0.392
Bi  0.751  0.503  0.437
Ho  0.579  0.159  0.893
Ge  0.747  0.495  0.750
Ho  0.250  0.500  0.750
Ge  0.253  0.505  0.250
Ho  0.421  0.841  0.107
Ho  0.421  0.841  0.393
Bi  0.751  0.503  0.063
Ho  0.919  0.839  0.608
Bi  0.249  0.497  0.937
Bi  0.249  0.497  0.563
Ho  0.919  0.839  0.892
Ho  0.750  0.500  0.250
Ho  0.579  0.159  0.607



[2]
A geometry-optimized K3NdPu2O9 structure, computed with GGA-PBE.

Computed properties:
Density: 6.04 g/cm³
DFT total energy: -7.9468 eV/atom
Uncorrected formation energy: -2.524 eV/atom
M_tot: 4.000 μB/f.u.

a b c (Å): 6.133 6.133 7.536
angles (deg): 90.00 90.00 120.00
Site moments in Bohr magnetons follow the coordinates.
Sites, in units of the cell vectors:
K  0.667  0.333  0.335  0.00
K  0.000  0.000  0.000  0.00
O  0.822  0.644  0.685  -0.09
Nd  0.000  0.000  0.500  -0.01
K  0.333  0.667  0.665  0.00
O  0.356  0.178  0.685  -0.09
O  0.644  0.822  0.315  -0.09
O  0.178  0.822  0.315  -0.09
O  0.822  0.178  0.685  -0.09
O  0.178  0.356  0.315  -0.09
O  0.500  0.500  0.000  -0.12
Pu  0.333  0.667  0.160  2.46
Pu  0.667  0.333  0.840  2.46
O  0.000  0.500  0.000  -0.12
O  0.500  0.000  0.000  -0.12



- Which value of DFT total energy does entry 2 give?
  -7.9468 eV/atom